Compound: AgGe3B
Source: Alexandria via LeMat-Bulk
Functional: SCAN
Structure: single point on PBEsol structure

Total magnetization = 0.000 μB per atom
Energy above the lowest structure with this stoichiometry = 910 meV/atom
Electronic total energy = -87.7 eV for the cell shown
Energy of formation = 1670 meV/atom

Lattice parameters (Å, degrees): 4.8676 4.8676 4.8676 90.00 90.00 90.00
Space group Pm-3m (No. 221)
Inequivalent atoms, fractional coordinates:
Ag  0.0000  0.0000  0.0000 [1 per cell]
Ge  0.0000  0.0000  0.5000 [3 per cell]
B  0.5000  0.5000  0.5000 [1 per cell]

***

Compound: GeRhC3
Source: Alexandria via LeMat-Bulk
Functional: SCAN
Structure: single point on PBEsol structure

Total magnetization = 0.000 μB per atom
Electronic total energy = -71.3 eV for the cell shown
Energy of formation = 2363 meV/atom

Lattice parameters (Å, degrees): 3.9514 3.9514 3.9514 90.00 90.00 90.00
Space group Pm-3m (No. 221)
Inequivalent atoms, fractional coordinates:
Ge  0.0000  0.0000  0.0000 [1 per cell]
Rh  0.5000  0.5000  0.5000 [1 per cell]
C  0.0000  0.5000  0.5000 [3 per cell]